1.
First-principles (PBE-GGA) data for a geometry-optimized TlCo2PCl structure, as listed in Alexandria.

Cell lengths 4.1823, 6.9640, 4.1823 Å; angles 90.00, 90.00, 90.00 degrees
Site moments in Bohr magnetons follow the coordinates.
Positions (direct):
Co  0.5000  0.0000  0.0000  1.14
Co  0.0000  0.0000  0.5000  0.74
P  0.0000  0.0000  0.0000  -0.07
Tl  0.5000  0.5000  0.5000  0.00
Cl  0.0000  0.5000  0.0000  -0.01

Formation energy (no corrections) in eV per atom: 0.2616
Total DFT energy (no corrections) in eV/cell: -22.53
Calculated density in g cm⁻³: 5.30


2.
First-principles (PBE-GGA) data for a geometry-optimized VInPdRu structure, as listed in Alexandria.

Cell lengths 4.4737, 4.4737, 4.4737 Å; angles 60.00, 60.00, 60.00 degrees
Site moments in Bohr magnetons follow the coordinates.
Positions (direct):
Pd  0.2500  0.2500  0.2500  0.23
Ru  0.7500  0.7500  0.7500  -0.12
V  0.5000  0.5000  0.5000  1.45
In  0.0000  0.0000  0.0000  -0.01

Total DFT energy (no corrections) in eV/cell: -26.76
DFT formation energy in eV per atom: -0.109
Calculated density in g cm⁻³: 9.79


3.
First-principles (PBE-GGA) data for a geometry-optimized LiZnRu structure, as listed in Alexandria.

Cell lengths 6.5220, 6.5220, 6.5220 Å; angles 156.95, 156.95, 32.82 degrees
Positions (direct):
Li  0.9986  0.9986  0.0000
Zn  0.6697  0.6697  0.0000
Ru  0.3317  0.3317  0.0000

Total DFT energy (no corrections) in eV/cell: -12.11
DFT formation energy in eV per atom: 0.117
E above lowest polymorph in meV per atom: 136
Calculated density in g cm⁻³: 6.78


4.
First-principles (PBE-GGA) data for a geometry-optimized Cs3U2S3O4 structure, as listed in Alexandria.

Cell lengths 4.2919, 5.4140, 13.4830 Å; angles 101.58, 99.16, 90.00 degrees
Site moments in Bohr magnetons follow the coordinates.
Positions (direct):
O  0.8245  0.8222  0.6443  -0.02
O  0.3991  0.8968  0.7936  -0.03
O  0.1802  0.1778  0.3557  -0.02
O  0.6055  0.1032  0.2064  -0.03
U  0.1061  0.1039  0.2077  0.58
U  0.8984  0.8961  0.7923  0.58
S  0.8991  0.3968  0.7936  -0.02
S  0.1055  0.6032  0.2064  -0.02
S  0.0023  0.0000  0.0000  -0.03
Cs  0.5023  0.5000  0.0000  0.00
Cs  0.3027  0.3002  0.6004  0.00
Cs  0.7022  0.6998  0.3996  0.00

Formation energy (no corrections) in eV per atom: -2.1063
Total DFT energy (no corrections) in eV/cell: -82.63
Calculated density in g cm⁻³: 5.68


5.
First-principles (PBE-GGA) data for a geometry-optimized LaMn12C6 structure, as listed in Alexandria.

Cell lengths 5.9572, 5.9572, 5.9572 Å; angles 103.20, 103.20, 103.20 degrees
Site moments in Bohr magnetons follow the coordinates.
Positions (direct):
Mn  0.4645  0.4645  0.1905  0.71
Mn  0.5355  0.5355  0.8095  0.71
Mn  0.5000  0.1341  0.8659  0.98
Mn  0.8659  0.1341  0.5000  0.98
Mn  0.1341  0.8659  0.5000  0.98
Mn  0.1341  0.5000  0.8659  0.98
Mn  0.8095  0.5355  0.5355  0.71
Mn  0.1905  0.4645  0.4645  0.71
Mn  0.8659  0.5000  0.1341  0.98
Mn  0.4645  0.1905  0.4645  0.71
Mn  0.5000  0.8659  0.1341  0.98
Mn  0.5355  0.8095  0.5355  0.71
C  0.7730  0.7730  0.3354  -0.07
C  0.2270  0.6646  0.2270  -0.07
C  0.7730  0.3354  0.7730  -0.07
C  0.6646  0.2270  0.2270  -0.07
C  0.3354  0.7730  0.7730  -0.07
C  0.2270  0.2270  0.6646  -0.07
La  0.0000  0.0000  0.0000  -0.02

Total DFT energy (no corrections) in eV/cell: -171.47
DFT formation energy in eV per atom: -0.061
Calculated density in g cm⁻³: 7.55


6.
First-principles (PBE-GGA) data for a geometry-optimized ZnPtS2N structure, as listed in Alexandria.

Cell lengths 4.9693, 4.9693, 3.6651 Å; angles 90.00, 90.00, 90.00 degrees
Positions (direct):
N  0.0000  0.0000  0.5000
Zn  0.5000  0.5000  0.5000
S  0.5000  0.0000  0.0000
S  0.0000  0.5000  0.0000
Pt  0.0000  0.0000  0.0000

Formation energy (no corrections) in eV per atom: 0.6566
Total DFT energy (no corrections) in eV/cell: -20.61
E above lowest polymorph in meV per atom: 0
Calculated density in g cm⁻³: 6.21


7.
First-principles (PBE-GGA) data for a geometry-optimized NaLaPmHg structure, as listed in Alexandria.

Cell lengths 5.5462, 5.5462, 5.5462 Å; angles 60.00, 60.00, 60.00 degrees
Site moments in Bohr magnetons follow the coordinates.
Positions (direct):
Pm  0.7500  0.7500  0.7500  0.20
La  0.2500  0.2500  0.2500  0.16
Hg  0.5000  0.5000  0.5000  0.01
Na  0.0000  0.0000  0.0000  0.01

Total DFT energy (no corrections) in eV/cell: -11.64
DFT formation energy in eV per atom: -0.084
Calculated density in g cm⁻³: 6.99


8.
First-principles (PBE-GGA) data for a geometry-optimized AcMgCdRh structure, as listed in Alexandria.

Cell lengths 5.1722, 5.1722, 5.1722 Å; angles 60.00, 60.00, 60.00 degrees
Positions (direct):
Mg  0.0000  0.0000  0.0000
Ac  0.5000  0.5000  0.5000
Rh  0.2500  0.2500  0.2500
Cd  0.7500  0.7500  0.7500

Total DFT energy (no corrections) in eV/cell: -14.86
DFT formation energy in eV per atom: -0.223
Calculated density in g cm⁻³: 7.92


9.
First-principles (PBE-GGA) data for a geometry-optimized CeSiAg structure, as listed in Alexandria.

Cell lengths 3.1807, 3.1807, 6.4350 Å; angles 104.31, 104.31, 90.00 degrees
Site moments in Bohr magnetons follow the coordinates.
Positions (direct):
Ce  0.6064  0.6064  0.2128  0.55
Ag  0.3073  0.3073  0.6146  0.00
Si  0.9363  0.9363  0.8726  -0.01

Formation energy (no corrections) in eV per atom: -0.0713
Total DFT energy (no corrections) in eV/cell: -14.42
Calculated density in g cm⁻³: 7.52


10.
First-principles (PBE-GGA) data for a geometry-optimized Pr4NdSb5 structure, as listed in Alexandria.

Cell lengths 4.5517, 4.5517, 16.4014 Å; angles 97.98, 97.98, 90.00 degrees
Positions (direct):
Sb  0.5000  0.5000  0.0000
Sb  0.7000  0.7000  0.4000
Sb  0.3000  0.3000  0.6000
Sb  0.0996  0.0996  0.1992
Sb  0.9004  0.9004  0.8008
Pr  0.1998  0.1998  0.3997
Pr  0.4002  0.4002  0.8003
Pr  0.8002  0.8002  0.6003
Pr  0.5998  0.5998  0.1997
Nd  0.0000  0.0000  0.0000

Formation energy (no corrections) in eV per atom: -1.1933
Total DFT energy (no corrections) in eV/cell: -56.43
Calculated density in g cm⁻³: 6.56


11.
First-principles (PBE-GGA) data for a geometry-optimized Ag2BiPb structure, as listed in Alexandria.

Cell lengths 4.5227, 4.5227, 6.6660 Å; angles 70.17, 70.17, 60.00 degrees
Positions (direct):
Bi  0.4943  0.4943  0.5172
Pb  0.6726  0.6726  0.9821
Ag  0.0852  0.0852  0.7444
Ag  0.2479  0.2479  0.2563

Total DFT energy (no corrections) in eV/cell: -12.59
DFT formation energy in eV per atom: 0.174
Calculated density in g cm⁻³: 9.66


12.
First-principles (PBE-GGA) data for a geometry-optimized PmDy8Te2 structure, as listed in Alexandria.

Cell lengths 5.6991, 8.6762, 8.6762 Å; angles 60.75, 82.43, 82.43 degrees
Positions (direct):
Dy  0.2299  0.7663  0.3957
Dy  0.7701  0.2337  0.6043
Dy  0.2299  0.3957  0.7663
Dy  0.2896  0.3554  0.3554
Dy  0.7104  0.6446  0.6446
Dy  0.7701  0.6043  0.2337
Dy  0.8748  0.2160  0.2160
Dy  0.1252  0.7840  0.7840
Te  0.5781  0.8676  0.8676
Te  0.4219  0.1324  0.1324
Pm  0.0000  0.0000  0.0000

Formation energy (no corrections) in eV per atom: -0.1275
Total DFT energy (no corrections) in eV/cell: -49.25
Calculated density in g cm⁻³: 7.63


13.
First-principles (PBE-GGA) data for a geometry-optimized Y2TaIr structure, as listed in Alexandria.

Cell lengths 5.8720, 5.8720, 4.7964 Å; angles 65.93, 65.93, 35.84 degrees
Positions (direct):
Ir  0.7500  0.7500  0.7500
Y  0.4628  0.4628  0.5371
Y  0.0372  0.0372  0.9629
Ta  0.2500  0.2500  0.2500

Total DFT energy (no corrections) in eV/cell: -33.59
DFT formation energy in eV per atom: 0.013
E above lowest polymorph in meV per atom: 255
Calculated density in g cm⁻³: 10.46